Entry 1:
Crystalline Pu2SnIr at its relaxed geometry, computed with GGA-PBE.

## Properties
Total magnetization ... 10.59 μB per formula unit
Total energy ... -10.703 eV/atom

Lattice parameters (Å, degrees): 4.416 4.416 4.457 90.00 90.00 90.00
Space group P4/mmm (No. 123)
Unique sites:
Pu 0.000 0.500 0.000
Sn 0.000 0.000 0.500
Ir 0.500 0.500 0.500



Entry 2:
Crystalline Pu2SnIr at its relaxed geometry, computed with GGA-PBE.

## Properties
Total magnetization ... 10.76 μB per formula unit
Total energy ... -10.371 eV/atom

Lattice parameters (Å, degrees): 3.7244 3.7244 29.6459 90.00 90.00 120.00
Space group R-3m (No. 166, hexagonal axes)
Unique sites:
Pu 0.0000 0.0000 0.1086
Sn 0.0000 0.0000 0.0000
Ir 0.0000 0.0000 0.5000



Entry 3:
Crystalline PuSn2Ir at its relaxed geometry, computed with GGA-PBE.

## Properties
Total magnetization ... 5.48 μB per formula unit
Total energy ... -8.215 eV/atom

Lattice parameters (Å, degrees): 4.370 7.606 5.839 90.00 111.93 90.00
Space group P2_1/m (No. 11)
Unique sites:
Pu 0.065 0.250 0.130
Sn 0.358 0.046 0.716
Ir 0.210 0.750 0.422



Entry 4:
Crystalline PuSnIr4 at its relaxed geometry, computed with GGA-PBE.

## Properties
Total magnetization ... 3.67 μB per formula unit
Total energy ... -9.239 eV/atom

Lattice parameters (Å, degrees): 7.537 7.537 7.537 90.00 90.00 90.00
Space group F-43m (No. 216)
Unique sites:
Pu 0.000 0.000 0.000
Sn 0.250 0.250 0.750
Ir 0.125 0.125 0.375



Entry 5:
Crystalline Pu2SnIr at its relaxed geometry, computed with GGA-PBE.

## Properties
Total magnetization ... 10.73 μB per formula unit
Total energy ... -10.755 eV/atom

Lattice parameters (Å, degrees): 3.849 3.849 6.046 90.00 90.00 90.00
Space group P4/mmm (No. 123)
Unique sites:
Pu 0.000 0.000 0.228
Sn 0.500 0.500 0.500
Ir 0.500 0.500 0.000



Entry 6:
Crystalline Pu4SnIr2 at its relaxed geometry, computed with GGA-PBE.

## Properties
Total magnetization ... 20.20 μB per formula unit
Total energy ... -11.577 eV/atom

Lattice parameters (Å, degrees): 4.8964 4.8964 21.7379 90.00 90.00 120.00
Space group R-3m (No. 166, hexagonal axes)
Unique sites:
Pu 0.0000 0.0000 0.0709
Pu 0.0000 0.0000 0.2375
Sn 0.0000 0.0000 0.5000
Ir 0.0000 0.0000 0.3658



Entry 7:
Crystalline Sr2PuSn3Ir4 at its relaxed geometry, computed with GGA-PBE.

## Properties
Total magnetization ... 5.17 μB per formula unit
Total energy ... -6.982 eV/atom

Lattice parameters (Å, degrees): 4.526 4.526 11.375 90.00 90.00 90.00
Space group P-4m2 (No. 115)
Unique sites:
Sr 0.000 0.500 0.234
Pu 0.000 0.000 0.500
Sn 0.000 0.500 0.875
Sn 0.500 0.500 0.500
Ir 0.000 0.000 0.000
Ir 0.000 0.500 0.639
Ir 0.500 0.500 0.000



Entry 8:
Crystalline TmPuSnIr at its relaxed geometry, computed with GGA-PBE.

## Properties
Total magnetization ... 5.00 μB per formula unit
Total energy ... -8.318 eV/atom

Lattice parameters (Å, degrees): 7.157 7.157 7.157 90.00 90.00 90.00
Space group F-43m (No. 216)
Unique sites:
Tm 0.000 0.000 0.000
Pu 0.000 0.000 0.500
Sn 0.250 0.250 0.750
Ir 0.250 0.250 0.250



Entry 9:
Crystalline PuZnSnIr at its relaxed geometry, computed with GGA-PBE.

## Properties
Total magnetization ... 4.87 μB per formula unit
Total energy ... -7.354 eV/atom

Lattice parameters (Å, degrees): 6.787 6.787 6.787 90.00 90.00 90.00
Space group F-43m (No. 216)
Unique sites:
Pu 0.000 0.000 0.000
Zn 0.250 0.250 0.750
Sn 0.000 0.000 0.500
Ir 0.250 0.250 0.250



Entry 10:
Crystalline SrPu4Ir4 at its relaxed geometry, computed with GGA-PBE.

## Properties
Total magnetization ... 19.29 μB per formula unit
Total energy ... -10.832 eV/atom

Lattice parameters (Å, degrees): 9.193 9.193 5.477 90.00 90.00 90.00
Space group P4_2/n (No. 86, origin choice 2)
Unique sites:
Sr 0.250 0.250 0.250
Pu 0.085 0.643 0.177
Ir 0.060 0.609 0.673



Entry 11:
Crystalline Sr3Pu2Ir4 at its relaxed geometry, computed with GGA-PBE.

## Properties
Total magnetization ... 8.94 μB per formula unit
Total energy ... -8.002 eV/atom

Lattice parameters (Å, degrees): 11.926 4.356 9.319 90.00 104.93 90.00
Space group C2/m (No. 12)
Unique sites:
Sr 0.000 0.000 0.000
Sr 0.127 0.500 0.382
Pu 0.172 0.500 0.784
Ir 0.083 0.000 0.622
Ir 0.220 0.500 0.092



Entry 12:
Crystalline SrPu2Ir at its relaxed geometry, computed with GGA-PBE.

## Properties
Total magnetization ... 11.31 μB per formula unit
Energy above the lowest structure with this stoichiometry ... 21 meV per atom
Total energy ... -9.872 eV/atom

Lattice parameters (Å, degrees): 3.551 3.551 9.211 90.00 90.00 90.00
Space group P4/mmm (No. 123)
Unique sites:
Sr 0.000 0.000 0.000
Pu 0.500 0.500 0.331
Ir 0.000 0.000 0.500



Entry 13:
Crystalline SrPu3Ir at its relaxed geometry, computed with GGA-PBE.

## Properties
Total magnetization ... 17.34 μB per formula unit
Total energy ... -10.635 eV/atom

Lattice parameters (Å, degrees): 5.520 5.520 5.520 90.00 90.00 90.00
Space group Pm-3m (No. 221)
Unique sites:
Sr 0.000 0.000 0.000
Pu 0.000 0.500 0.500
Ir 0.500 0.500 0.500



Entry 14:
Crystalline SrPu2Ir at its relaxed geometry, computed with GGA-PBE.

## Properties
Total magnetization ... 11.20 μB per formula unit
Energy above the lowest structure with this stoichiometry ... 0 meV per atom
Total energy ... -9.893 eV/atom

Lattice parameters (Å, degrees): 4.0747 4.0747 27.9535 90.00 90.00 120.00
Space group R-3m (No. 166, hexagonal axes)
Unique sites:
Sr 0.0000 0.0000 0.0000
Pu 0.0000 0.0000 0.2191
Ir 0.0000 0.0000 0.5000



Entry 15:
Crystalline PuTa2Ir2 at its relaxed geometry, computed with GGA-PBE.

## Properties
Total magnetization ... 5.66 μB per formula unit
Total energy ... -11.589 eV/atom

Lattice parameters (Å, degrees): 4.468 4.468 10.381 90.00 90.00 90.00
Space group I4/mmm (No. 139)
Unique sites:
Pu 0.000 0.000 0.000
Ta 0.000 0.500 0.250
Ir 0.000 0.000 0.375



Entry 16:
Crystalline PuTaIr2 at its relaxed geometry, computed with GGA-PBE.

## Properties
Total magnetization ... 4.74 μB per formula unit
Energy above the lowest structure with this stoichiometry ... 241 meV per atom
Total energy ... -11.207 eV/atom

Lattice parameters (Å, degrees): 6.621 6.621 6.621 90.00 90.00 90.00
Space group Fm-3m (No. 225)
Unique sites:
Pu 0.000 0.000 0.000
Ta 0.000 0.000 0.500
Ir 0.250 0.250 0.250



Entry 17:
Crystalline PuTaIr2 at its relaxed geometry, computed with GGA-PBE.

## Properties
Total magnetization ... 4.76 μB per formula unit
Energy above the lowest structure with this stoichiometry ... 0 meV per atom
Total energy ... -11.448 eV/atom

Lattice parameters (Å, degrees): 3.022 3.022 7.863 90.00 90.00 90.00
Space group P4/mmm (No. 123)
Unique sites:
Pu 0.000 0.000 0.000
Ta 0.000 0.000 0.500
Ir 0.500 0.500 0.284



Entry 18:
Crystalline PuTaTiIr at its relaxed geometry, computed with GGA-PBE.

## Properties
Total magnetization ... 5.27 μB per formula unit
Total energy ... -10.851 eV/atom

Lattice parameters (Å, degrees): 6.535 6.535 6.535 90.00 90.00 90.00
Space group F-43m (No. 216)
Unique sites:
Pu 0.000 0.000 0.000
Ta 0.250 0.250 0.250
Ti 0.250 0.250 0.750
Ir 0.000 0.000 0.500



Entry 19:
Crystalline Tb5PuIr5 at its relaxed geometry, computed with GGA-PBE.

## Properties
Total magnetization ... 4.30 μB per formula unit
Total energy ... -7.957 eV/atom

Lattice parameters (Å, degrees): 12.745 5.622 8.028 90.00 108.54 90.00
Space group C2/m (No. 12)
Unique sites:
Tb 0.000 0.000 0.000
Tb 0.174 0.500 0.346
Tb 0.176 0.500 0.828
Pu 0.000 0.000 0.500
Ir 0.000 0.500 0.500
Ir 0.153 0.000 0.329
Ir 0.159 0.000 0.827



Entry 20:
Crystalline Tb2PuIr9 at its relaxed geometry, computed with GGA-PBE.

## Properties
Total magnetization ... 4.29 μB per formula unit
Total energy ... -9.135 eV/atom

Lattice parameters (Å, degrees): 5.3110 5.3110 26.3712 90.00 90.00 120.00
Space group R-3m (No. 166, hexagonal axes)
Unique sites:
Tb 0.0000 0.0000 0.1395
Pu 0.0000 0.0000 0.0000
Ir 0.0000 0.0000 0.3331
Ir 0.0000 0.0000 0.5000
Ir 0.0006 0.5003 0.0821



| no. | energy relative to the elements (meV/atom) |
| --- | --- |
| 1 | -321 |
| 2 | 11 |
| 3 | -416 |
| 4 | -276 |
| 5 | -373 |
| 6 | -284 |
| 7 | -467 |
| 8 | -402 |
| 9 | -236 |
| 10 | -338 |
| 11 | -318 |
| 12 | -71 |
| 13 | 73 |
| 14 | -92 |
| 15 | -437 |
| 16 | -230 |
| 17 | -471 |
| 18 | -116 |
| 19 | -522 |
| 20 | -523 |